<w>
Compound: PmNi6
Source: the Alexandria database
Functional: GGA-PBE
Structure: optimized geometry

Results
Symmetry: Pnma, No. 62
Theoretical density: 8.75 Mg/m³
N(E_F): 10.113 states/eV/f.u.

Structure (POSCAR):
```
PmNi6
1.0
-3.7465 -3.1425 0.1717
0.5643 -0.2468 7.7972
-6.3001 7.5489 0.6949
Pm Ni
4 24
direct
0.7500 0.2399 0.9396
0.2500 0.7601 0.0604
0.7500 0.7399 0.5604
0.2500 0.2601 0.4396
0.7500 0.6035 0.0183
0.2500 0.3965 0.9817
0.7500 0.1035 0.4817
0.2500 0.8965 0.5183
0.0055 0.4321 0.1911
0.5055 0.5679 0.8089
0.4945 0.9321 0.3089
0.9945 0.0679 0.6911
0.9945 0.5679 0.8089
0.4945 0.4321 0.1911
0.5055 0.0679 0.6911
0.0055 0.9321 0.3089
0.2500 0.1492 0.1478
0.7500 0.8508 0.8522
0.2500 0.6492 0.3522
0.7500 0.3508 0.6478
0.2500 0.8197 0.7575
0.7500 0.1803 0.2425
0.2500 0.3197 0.7425
0.7500 0.6803 0.2575
0.2500 0.5643 0.5950
0.7500 0.4357 0.4050
0.2500 0.0643 0.9050
0.7500 0.9357 0.0950
```


<x>
Compound: PmNi6
Source: the Alexandria database
Functional: GGA-PBE
Structure: optimized geometry

Results
Symmetry: Pm-3m, No. 221
Theoretical density: 5.56 Mg/m³
N(E_F): 7.945 states/eV/f.u.

Structure (POSCAR):
```
PmNi6
1.0
-2.1232 -2.6480 -4.0631
2.4334 -4.4184 1.6079
-4.1951 -1.2227 2.9891
Pm Ni
1 6
direct
0.0000 0.0000 0.0000
0.1968 0.5000 0.5000
0.5000 0.5000 0.8032
0.5000 0.5000 0.1968
0.5000 0.1968 0.5000
0.5000 0.8032 0.5000
0.8032 0.5000 0.5000
```


Verdict on stability: <w> comes out on top.


<w>
Compound: Pm3Ni
Source: the Alexandria database
Functional: GGA-PBE
Structure: optimized geometry

Results
Symmetry: Cmcm, No. 63
Theoretical density: 7.30 Mg/m³
N(E_F): 5.553 states/eV/f.u.

Structure (POSCAR):
```
Pm3Ni
1.0
3.7633 0.0000 0.0000
-1.8817 6.0375 0.0000
0.0000 0.0000 9.8917
Pm Ni
6 2
direct
0.4146 0.8293 0.7500
0.5854 0.1707 0.2500
0.1375 0.2750 0.9311
0.8625 0.7250 0.0689
0.8625 0.7250 0.4311
0.1375 0.2750 0.5689
0.7302 0.4604 0.7500
0.2698 0.5396 0.2500
```


<x>
Compound: Pm3Ni
Source: the Alexandria database
Functional: GGA-PBE
Structure: optimized geometry

Results
Symmetry: Imm2, No. 44
Theoretical density: 7.20 Mg/m³
N(E_F): 6.861 states/eV/f.u.

Structure (POSCAR):
```
Pm3Ni
1.0
-2.2673 0.4985 2.8017
1.1226 -5.4728 1.8822
4.6000 4.3221 0.5910
Ni Pm
1 3
direct
0.0000 0.0240 0.0000
0.3074 0.6846 0.6149
0.5000 0.3882 0.0000
0.6926 0.0698 0.3851
```


Verdict on stability: <w> comes out on top.


<w>
Compound: PmNi4
Source: the Alexandria database
Functional: GGA-PBE
Structure: optimized geometry

Results
Symmetry: I-43m, No. 217
Theoretical density: 8.45 Mg/m³
N(E_F): 7.709 states/eV/f.u.

Structure (POSCAR):
```
PmNi4
1.0
-1.2915 6.5830 -2.8601
-3.5341 -0.6283 6.3482
7.1621 -0.8035 1.1150
Pm Ni
4 16
direct
0.5508 0.0000 0.0000
0.0000 0.5508 0.0000
0.4492 0.4492 0.4492
0.0000 0.0000 0.5508
0.1967 0.0000 0.0000
0.0000 0.1967 0.0000
0.8033 0.8033 0.8033
0.0000 0.0000 0.1967
0.3534 0.0000 0.3534
0.6466 0.0000 0.6466
0.0000 0.6466 0.6466
0.0000 0.3534 0.3534
0.3534 0.3534 0.0000
0.6466 0.6466 0.0000
0.2500 0.5000 0.7500
0.7500 0.5000 0.2500
0.5000 0.2500 0.7500
0.5000 0.7500 0.2500
0.7500 0.2500 0.5000
0.2500 0.7500 0.5000
```


<x>
Compound: PmNi4
Source: the Alexandria database
Functional: GGA-PBE
Structure: optimized geometry

Results
Symmetry: I4/mmm, No. 139
Theoretical density: 7.37 Mg/m³
N(E_F): 10.379 states/eV/f.u.

Structure (POSCAR):
```
PmNi4
1.0
-5.1492 -2.4230 -0.1670
4.4562 2.4538 -2.5561
2.6963 -4.9641 0.7075
Pm Ni
1 4
direct
0.0000 0.0000 0.0000
0.0000 0.3267 0.3267
0.6733 0.0000 0.6733
0.0000 0.6733 0.6733
0.3267 0.0000 0.3267
```


<y>
Compound: PmNi4
Source: the Alexandria database
Functional: GGA-PBE
Structure: optimized geometry

Results
Symmetry: Pm-3m, No. 221
Theoretical density: 6.24 Mg/m³
N(E_F): 7.190 states/eV/f.u.

Structure (POSCAR):
```
PmNi4
1.0
4.6568 0.0000 0.0000
0.0000 4.6568 0.0000
0.0000 0.0000 4.6568
Ni Pm
4 1
direct
0.0000 0.0000 0.0000
0.5000 0.0000 0.5000
0.0000 0.5000 0.5000
0.5000 0.5000 0.0000
0.5000 0.5000 0.5000
```


Verdict on stability: <w> comes out on top.


<w>
Compound: Pm2Ni3
Source: the Alexandria database
Functional: GGA-PBE
Structure: optimized geometry

Results
Symmetry: Cmcm, No. 63
Theoretical density: 7.88 Mg/m³
N(E_F): 4.872 states/eV/f.u.

Structure (POSCAR):
```
Pm2Ni3
1.0
-1.9367 1.0442 3.2722
2.0454 -2.7806 2.0980
9.7102 7.8071 0.8802
Pm Ni
4 6
direct
0.2984 0.7500 0.5968
0.7016 0.2500 0.4032
0.5698 0.7500 0.1396
0.4302 0.2500 0.8604
0.1715 0.7500 0.3430
0.8285 0.2500 0.6570
0.8819 0.7500 0.7638
0.1181 0.2500 0.2362
0.0238 0.2500 0.0476
0.9762 0.7500 0.9524
```


<x>
Compound: Pm2Ni3
Source: the Alexandria database
Functional: GGA-PBE
Structure: optimized geometry

Results
Symmetry: Cmce, No. 64
Theoretical density: 8.36 Mg/m³
N(E_F): 3.423 states/eV/f.u.

Structure (POSCAR):
```
Pm2Ni3
1.0
-3.7364 3.4225 -0.6251
-0.1284 -3.1573 4.3290
4.1065 5.1978 3.9127
Pm Ni
4 6
direct
0.1569 0.3138 0.5957
0.8431 0.6862 0.4043
0.3431 0.6862 0.0957
0.6569 0.3138 0.9043
0.5000 0.0000 0.5000
0.0000 0.0000 0.0000
0.6567 0.8133 0.7500
0.8433 0.1867 0.2500
0.1567 0.8133 0.7500
0.3433 0.1867 0.2500
```


Verdict on stability: <x> comes out on top.


<w>
Compound: PmNi2
Source: the Alexandria database
Functional: GGA-PBE
Structure: optimized geometry

Results
Symmetry: I4/mmm, No. 139
Theoretical density: 8.42 Mg/m³
N(E_F): 3.969 states/eV/f.u.

Structure (POSCAR):
```
PmNi2
1.0
-0.9907 -3.1944 -0.2610
3.1522 -1.0205 0.5254
-1.8751 1.9841 4.3940
Ni Pm
2 1
direct
0.7004 0.7004 0.4008
0.2996 0.2996 0.5992
0.0000 0.0000 0.0000
```


<x>
Compound: PmNi2
Source: the Alexandria database
Functional: GGA-PBE
Structure: optimized geometry

Results
Symmetry: Fd-3m, No. 227
Theoretical density: 9.03 Mg/m³
N(E_F): 2.473 states/eV/f.u.

Structure (POSCAR):
```
PmNi2
1.0
5.1493 0.0000 0.0000
2.5747 4.4594 0.0000
2.5747 1.4865 4.2044
Ni Pm
4 2
direct
0.1250 0.6250 0.6250
0.6250 0.1250 0.6250
0.6250 0.6250 0.6250
0.6250 0.6250 0.1250
0.0000 0.0000 0.0000
0.2500 0.2500 0.2500
```


Verdict on stability: <x> comes out on top.


<w>
Compound: Pm3PrNi2
Source: the Alexandria database
Functional: GGA-PBE
Structure: optimized geometry

Results
Symmetry: C2/m, No. 12
Theoretical density: 7.13 Mg/m³
N(E_F): 7.531 states/eV/f.u.

Structure (POSCAR):
```
Pm3PrNi2
1.0
3.8902 0.0000 0.7840
1.6581 8.1617 1.8162
-0.0216 -0.1015 10.1506
Pm Pr Ni
6 2 4
direct
0.1550 0.9390 0.7510
0.8450 0.0610 0.2490
0.4178 0.2214 0.9430
0.5822 0.7786 0.0570
0.5833 0.2741 0.5594
0.4167 0.7259 0.4406
0.8473 0.5582 0.7472
0.1527 0.4418 0.2528
0.2322 0.5838 0.9518
0.7678 0.4162 0.0482
0.7675 0.9173 0.5476
0.2325 0.0827 0.4524
```


<x>
Compound: Pm3PrNi2
Source: the Alexandria database
Functional: GGA-PBE
Structure: optimized geometry

Results
Symmetry: C2/m, No. 12
Theoretical density: 6.85 Mg/m³
N(E_F): 6.016 states/eV/f.u.

Structure (POSCAR):
```
Pm3PrNi2
1.0
4.2992 0.0000 0.0000
2.1496 7.9013 -0.8835
2.1496 0.8921 9.7982
Pm Pr Ni
6 2 4
direct
0.0521 0.0978 0.7980
0.9479 0.9022 0.2020
0.6479 0.7755 0.9286
0.3521 0.2245 0.0714
0.8211 0.8069 0.5510
0.1789 0.1931 0.4490
0.3880 0.4743 0.7498
0.6120 0.5257 0.2502
0.8102 0.4235 0.9561
0.1898 0.5765 0.0439
0.6129 0.1466 0.6277
0.3871 0.8534 0.3723
```


Verdict on stability: <w> comes out on top.


<w>
Compound: PmPrNi2
Source: the Alexandria database
Functional: GGA-PBE
Structure: optimized geometry

Results
Symmetry: Pm, No. 6
Theoretical density: 7.60 Mg/m³
N(E_F): 2.546 states/eV/f.u.

Structure (POSCAR):
```
PmPrNi2
1.0
-0.1907 -0.7498 3.7751
-2.8822 -3.1171 -0.7647
4.0273 -3.1419 -2.3722
Pm Pr Ni
1 1 2
direct
0.7193 0.0000 0.9775
0.4439 0.5000 0.4268
0.1539 0.5000 0.8484
0.0139 0.0000 0.5653
```


<x>
Compound: PmPrNi2
Source: the Alexandria database
Functional: GGA-PBE
Structure: optimized geometry

Results
Symmetry: R-3m, No. 166
Theoretical density: 7.15 Mg/m³
N(E_F): 2.210 states/eV/f.u.

Structure (POSCAR):
```
PmPrNi2
1.0
-1.1614 0.4645 3.8414
-1.3561 -3.1748 2.0982
5.3377 -2.2037 4.0046
Pr Ni Pm
1 2 1
direct
0.5000 0.5000 0.5000
0.7483 0.7483 0.7551
0.2517 0.2517 0.2449
0.0000 0.0000 0.0000
```


Verdict on stability: <w> comes out on top.


<w>
Compound: PmPr3Ni
Source: the Alexandria database
Functional: GGA-PBE
Structure: optimized geometry

Results
Symmetry: Pm-3m, No. 221
Theoretical density: 6.14 Mg/m³
N(E_F): 11.712 states/eV/f.u.

Structure (POSCAR):
```
PmPr3Ni
1.0
5.5338 0.0000 0.0000
0.0000 5.5338 0.0000
0.0000 0.0000 5.5338
Pr Ni Pm
3 1 1
direct
0.0000 0.5000 0.0000
0.0000 0.0000 0.5000
0.5000 0.0000 0.0000
0.0000 0.0000 0.0000
0.5000 0.5000 0.5000
```


<x>
Compound: PmPr3Ni
Source: the Alexandria database
Functional: GGA-PBE
Structure: optimized geometry

Results
Symmetry: Cm, No. 8
Theoretical density: 6.83 Mg/m³
N(E_F): 6.742 states/eV/f.u.

Structure (POSCAR):
```
PmPr3Ni
1.0
3.7375 0.0000 0.6141
1.8019 6.1309 0.7144
-0.2515 -0.4753 13.2105
Pm Pr Ni
2 6 2
direct
0.1042 0.5142 0.2775
0.2207 0.5544 0.0043
0.4376 0.9769 0.1479
0.7756 0.6870 0.7618
0.1097 0.1525 0.6280
0.9907 0.1118 0.9068
0.7780 0.0557 0.3882
0.4349 0.6124 0.5177
0.7542 0.3547 0.1369
0.4552 0.3172 0.7724
```


<y>
Compound: PmPr3Ni
Source: the Alexandria database
Functional: GGA-PBE
Structure: optimized geometry

Results
Symmetry: P1, No. 1
Theoretical density: 6.50 Mg/m³
N(E_F): 7.777 states/eV/f.u.

Structure (POSCAR):
```
PmPr3Ni
1.0
-2.8961 -0.7636 -4.5906
6.3903 0.7288 -4.1624
0.6674 -7.5710 0.8478
Pm Pr Ni
2 6 2
direct
0.0429 0.6862 0.3872
0.0429 0.1553 0.8569
0.5427 0.9506 0.5924
0.5444 0.4454 0.0957
0.0422 0.1538 0.3880
0.0431 0.6664 0.8758
0.5423 0.4187 0.5795
0.5423 0.9611 0.1233
0.5431 0.7042 0.8361
0.0452 0.4015 0.1419
```


Verdict on stability: <x> comes out on top.